Below is LaMn2FeCl at its PBEsol-relaxed geometry, with properties calculated at the meta-GGA SCAN level.

```
5
Lattice="4.2721 0.0000 0.0000 0.0000 4.2721 0.0000 0.0000 0.0000 5.7016" Properties=species:S:1:pos:R:3 pbc="T T T"
Cl 2.1360 2.1360 2.8508
Mn 0.0000 2.1360 0.0000
Mn 2.1360 0.0000 0.0000
Fe 0.0000 0.0000 0.0000
La 0.0000 0.0000 2.8508
```

DOS(E_F): 3.48 states/eV/cell
Volume: 104.1 Å³/cell
Space group: No. 123
Raw total energy: -21.1650 eV per atom
ΔE_f (raw): -20 meV per atom